DFT (PBE) results for Na2In2Fe after structural relaxation.

Lattice parameters (Å, degrees): 3.8467 3.8467 15.7797 90.00 90.00 90.00
With the nearest neighbours (Å) after each atom.
Space group I4/mmm (No. 139)
Inequivalent atoms, fractional coordinates:
Na (0.0000, 0.5000, 0.2500) (multiplicity 4)  4 Na 2.72
In (0.0000, 0.0000, 0.0891) (multiplicity 4)  1 In 2.81, 4 Fe 3.06
Fe (0.0000, 0.0000, 0.5000) (multiplicity 2)  8 In 3.06

Output
The calculated formation energy comes out at 222 kJ/mol of formula units. The value obtained for the total magnetization is 2.723 μB/f.u. Its energy above the most stable polymorph in this dataset is 0.191 eV per atom.